(1)
# PBE-GGA Y2MnIrN, optimized geometry
data_Y2MnIrN
_chemical_formula_sum 'Y2 Mn1 Ir1 N1'
_cell_length_a 4.857
_cell_length_b 3.605
_cell_length_c 4.857
_cell_angle_alpha 90.00
_cell_angle_beta 90.00
_cell_angle_gamma 90.00
_symmetry_space_group_name_H-M 'P 1'
_symmetry_Int_Tables_number 1
loop_
_symmetry_equiv_pos_as_xyz
'x,y,z'
loop_
_atom_site_label
_atom_site_type_symbol
_atom_site_fract_x
_atom_site_fract_y
_atom_site_fract_z
Y1 Y 0.000 0.000 0.500
Y2 Y 0.500 0.000 0.000
Ir1 Ir 0.500 0.500 0.500
Mn1 Mn 0.000 0.500 0.000
N1 N 0.000 0.000 0.000
# formation energy from raw total energies	-0.7900	eV/atom
# total moment	0.00	μB per atom

***

(2)
# PBE-GGA NaMn3Ir, optimized geometry
data_NaMn3Ir
_chemical_formula_sum 'Na1 Mn3 Ir1'
_cell_length_a 4.940
_cell_length_b 4.940
_cell_length_c 4.940
_cell_angle_alpha 90.00
_cell_angle_beta 90.00
_cell_angle_gamma 90.00
_symmetry_space_group_name_H-M 'P 1'
_symmetry_Int_Tables_number 1
loop_
_symmetry_equiv_pos_as_xyz
'x,y,z'
loop_
_atom_site_label
_atom_site_type_symbol
_atom_site_fract_x
_atom_site_fract_y
_atom_site_fract_z
Na1 Na 0.500 0.500 0.500
Ir1 Ir 0.000 0.000 0.000
Mn1 Mn 0.000 0.500 0.000
Mn2 Mn 0.000 0.000 0.500
Mn3 Mn 0.500 0.000 0.000
# energy of formation from the pure elements	0.73	eV per atom
# total moment	2.71	μB per atom

***

(3)
# PBE-GGA Na2MnIr, optimized geometry
data_Na2MnIr
_chemical_formula_sum 'Na4 Mn2 Ir2'
_cell_length_a 10.190
_cell_length_b 10.190
_cell_length_c 7.571
_cell_angle_alpha 47.71
_cell_angle_beta 47.71
_cell_angle_gamma 90.00
_symmetry_space_group_name_H-M 'P 1'
_symmetry_Int_Tables_number 1
loop_
_symmetry_equiv_pos_as_xyz
'x,y,z'
loop_
_atom_site_label
_atom_site_type_symbol
_atom_site_fract_x
_atom_site_fract_y
_atom_site_fract_z
Na1 Na 0.763 0.125 0.250
Na2 Na 0.987 0.625 0.250
Na3 Na 0.375 0.237 0.750
Na4 Na 0.875 0.013 0.750
Ir1 Ir 0.000 0.000 0.000
Ir2 Ir 0.750 0.250 0.500
Mn1 Mn 0.500 0.500 0.000
Mn2 Mn 0.250 0.750 0.500
# energy of formation from the pure elements	0.83	eV per atom
# total moment	1.16	μB per atom

***

(4)
# PBE-GGA Na2MnIr, optimized geometry
data_Na2MnIr
_chemical_formula_sum 'Na2 Mn1 Ir1'
_cell_length_a 4.723
_cell_length_b 4.723
_cell_length_c 4.723
_cell_angle_alpha 60.00
_cell_angle_beta 60.00
_cell_angle_gamma 60.00
_symmetry_space_group_name_H-M 'P 1'
_symmetry_Int_Tables_number 1
loop_
_symmetry_equiv_pos_as_xyz
'x,y,z'
loop_
_atom_site_label
_atom_site_type_symbol
_atom_site_fract_x
_atom_site_fract_y
_atom_site_fract_z
Na1 Na 0.250 0.250 0.250
Na2 Na 0.750 0.750 0.750
Ir1 Ir 0.500 0.500 0.500
Mn1 Mn 0.000 0.000 0.000
# energy of formation from the pure elements	0.85	eV per atom
# total moment	1.15	μB per atom

***

(5)
# PBE-GGA NaMnIr3, optimized geometry
data_NaMnIr3
_chemical_formula_sum 'Na1 Mn1 Ir3'
_cell_length_a 4.519
_cell_length_b 4.519
_cell_length_c 4.519
_cell_angle_alpha 90.00
_cell_angle_beta 90.00
_cell_angle_gamma 90.00
_symmetry_space_group_name_H-M 'P 1'
_symmetry_Int_Tables_number 1
loop_
_symmetry_equiv_pos_as_xyz
'x,y,z'
loop_
_atom_site_label
_atom_site_type_symbol
_atom_site_fract_x
_atom_site_fract_y
_atom_site_fract_z
Na1 Na 0.500 0.500 0.500
Ir1 Ir 0.000 0.500 0.000
Ir2 Ir 0.000 0.000 0.500
Ir3 Ir 0.500 0.000 0.000
Mn1 Mn 0.000 0.000 0.000
# energy of formation from the pure elements	1.08	eV per atom
# total moment	0.00	μB per atom

***

(6)
# PBE-GGA NaMnIr2, optimized geometry
data_NaMnIr2
_chemical_formula_sum 'Na2 Mn2 Ir4'
_cell_length_a 7.269
_cell_length_b 7.269
_cell_length_c 5.739
_cell_angle_alpha 50.71
_cell_angle_beta 50.71
_cell_angle_gamma 90.00
_symmetry_space_group_name_H-M 'P 1'
_symmetry_Int_Tables_number 1
loop_
_symmetry_equiv_pos_as_xyz
'x,y,z'
loop_
_atom_site_label
_atom_site_type_symbol
_atom_site_fract_x
_atom_site_fract_y
_atom_site_fract_z
Na1 Na 0.500 0.500 0.000
Na2 Na 0.250 0.750 0.500
Ir1 Ir 0.681 0.125 0.250
Ir2 Ir 0.069 0.625 0.250
Ir3 Ir 0.375 0.319 0.750
Ir4 Ir 0.875 0.931 0.750
Mn1 Mn 0.000 0.000 0.000
Mn2 Mn 0.750 0.250 0.500
# energy of formation from the pure elements	0.62	eV per atom
# total moment	0.60	μB per atom

***

Number 1: total DFT energy (no corrections) -0.6355 Ry per atom. Number 2: total DFT energy (no corrections) -0.5007 Ry per atom. Number 3: total DFT energy (no corrections) -0.3187 Ry per atom. Number 4: total DFT energy (no corrections) -0.3176 Ry per atom. Number 5: total DFT energy (no corrections) -0.4658 Ry per atom. Number 6: total DFT energy (no corrections) -0.4727 Ry per atom.